Density functional theory data (PBE) for a geometry-optimized BaCuP structure.

```
6
Lattice="-3.663 -1.925 0.872 3.356 -0.599 2.502 -2.551 7.183 5.142" Properties=species:S:1:pos:R:3 pbc="T T T"
Ba 0.000 0.000 0.000
Ba -1.276 3.592 2.571
Cu 0.365 0.752 3.241
Cu -3.223 3.907 5.275
P -1.950 0.315 2.703
P -0.908 4.345 5.812
```

Properties
Crystal system: orthorhombic
Raw total energy (eV/f.u.): -13.24
Space group: Cmcm (63)

---

Density functional theory data (PBE) for a geometry-optimized BePtSeO structure.

```
8
Lattice="-0.138 4.623 -1.517 -2.309 1.273 4.092 4.965 0.969 2.500" Properties=species:S:1:pos:R:3 pbc="T T T"
Be 0.618 1.714 1.263
Be 1.900 5.151 3.812
O -0.602 1.476 0.649
O 3.120 5.389 4.426
Pt -0.061 4.769 2.824
Pt 2.580 2.097 2.251
Se 1.802 4.270 1.135
Se 0.716 2.595 3.940
```

Properties
Crystal system: tetragonal
Raw total energy (eV/f.u.): -20.02
Total magnetic moment (Bohr magnetons per cell): 0.0
Space group: P4/nmm (129)

---

Density functional theory data (PBE) for a geometry-optimized K2NaH6Au structure.

```
10
Lattice="0.000 4.070 4.070 4.070 0.000 4.070 4.070 4.070 0.000" Properties=species:S:1:pos:R:3 pbc="T T T"
Au 0.000 0.000 0.000
H 1.792 4.070 4.070
H 4.070 1.792 4.070
H 4.070 4.070 6.349
H 4.070 4.070 1.792
H 4.070 6.349 4.070
H 6.349 4.070 4.070
K 2.035 2.035 2.035
K 6.105 6.105 6.105
Na 4.070 4.070 4.070
```

Properties
Crystal system: cubic
Raw total energy (eV/f.u.): -27.44
Space group: Fm-3m (225)

---

Density functional theory data (PBE) for a geometry-optimized Hf4GeAuN2 structure.

```
8
Lattice="3.242 0.000 0.000 -1.621 2.807 0.000 0.000 0.000 13.711" Properties=species:S:1:pos:R:3 pbc="T T T"
Au 0.000 0.000 0.000
Ge 1.621 0.936 6.855
Hf 1.621 0.936 2.239
Hf 0.000 0.000 4.739
Hf 0.000 0.000 8.972
Hf 1.621 0.936 11.472
N 0.000 1.872 3.462
N 0.000 1.872 10.249
```

Properties
Crystal system: hexagonal
Raw total energy (eV/f.u.): -73.36
Total magnetic moment (Bohr magnetons per cell): 0.0
Space group: P-6m2 (187)